Density functional theory data (PBE-GGA) for a geometry-optimized Cu2SbAu8 structure.

Cell: 5.069 7.281 7.281 Å, 116.06 106.14 106.14°
Atoms (fractional coordinates):
Sb (0.500, 0.000, 0.000)
Au (0.500, 0.231, 0.769)
Au (0.909, 0.672, 0.914)
Au (0.325, 0.593, 0.593)
Au (0.675, 0.407, 0.407)
Au (0.500, 0.769, 0.231)
Au (0.909, 0.914, 0.672)
Au (0.091, 0.086, 0.328)
Au (0.091, 0.328, 0.086)
Cu (0.000, 0.309, 0.691)
Cu (0.000, 0.691, 0.309)

Calculated values
- Magnetic moment: 0.0 Bohr magnetons per cell
- Energy relative to the elements, uncorrected: 0.057 eV per atom
- Volume: 205 Å³/cell
- Electronic total energy: -3.446 eV per atom